An optimized crystal structure of BeZn2Cl, computed with PBE-GGA.

Output
The raw formation energy is 142 meV/atom.

a b c (Å): 4.3680 4.3680 6.6276
angles (deg): 62.81 62.81 41.58
With the nearest neighbours (Å) after each atom.
Sites, in units of the cell vectors:
Zn 0.0017 0.0017 0.0866  2 Be 2.37, 2 Zn 2.65
Zn 0.4983 0.4983 0.4134  2 Be 2.37, 2 Zn 2.65
Cl 0.7500 0.7500 0.7500  4 Zn 2.66
Be 0.2500 0.2500 0.2500  4 Zn 2.37